1.
DFT (GGA-PBE) results for an optimized crystal structure of HfCuBiPt.

a = 6.737 Å, b = 6.737 Å, c = 6.737 Å
α = 90.00°, β = 90.00°, γ = 90.00°
Space group F-43m (No. 216)
Asymmetric unit:
Hf  0.000  0.000  0.000 [4 per cell]
Cu  0.000  0.000  0.500 [4 per cell]
Bi  0.250  0.250  0.750 [4 per cell]
Pt  0.250  0.250  0.250 [4 per cell]

Output
ρ: 14.04 g/cm3
Crystal system: cubic



2.
DFT (GGA-PBE) results for an optimized crystal structure of HfCuBiPt.

a = 6.742 Å, b = 6.742 Å, c = 6.742 Å
α = 90.00°, β = 90.00°, γ = 90.00°
Space group F-43m (No. 216)
Asymmetric unit:
Hf  0.000  0.000  0.000 [4 per cell]
Cu  0.250  0.250  0.250 [4 per cell]
Bi  0.000  0.000  0.500 [4 per cell]
Pt  0.250  0.250  0.750 [4 per cell]

Output
ρ: 14.00 g/cm3
Crystal system: cubic



| no. | relative energy among the computed polymorphs (meV per atom) |
| --- | --- |
| 1 | 47 |
| 2 | 0 |